Compound: Cs2PuCo2O6
Source: Alexandria via LeMat-Bulk
Functional: PBE+U
Structure: optimized geometry

Computed properties:
As for the final energy: -74.345 eV per formula unit. The symmetry is No. 166. As for the density of states at the Fermi level: 0.75 states/eV/f.u.

Cell and atoms, written as POSCAR:
```
Cs2PuCo2O6
1.0
-5.9495 -1.3504 -0.7144
-1.8037 -5.8639 -0.3016
-3.2581 -2.4949 5.4424
Cs Pu Co O
2 1 2 6
Cartesian
-8.2071 -7.2751 2.8796
-2.8041 -2.4342 1.5468
0.0000 0.0000 0.0000
-5.6584 -4.8751 3.5240
-5.3528 -4.8342 0.9023
-6.6625 -6.0903 0.3206
-3.5393 -5.3814 0.6956
-5.7156 -3.0120 0.4789
-5.2956 -6.6973 3.9474
-7.4720 -4.3279 3.7308
-4.3488 -3.6190 4.1058
```